Entry 1:
# GGA+U CaNiO, relaxed
data_CaNiO
_cell_length_a 3.354
_cell_length_b 5.382
_cell_length_c 5.811
_cell_angle_alpha 108.91
_cell_angle_beta 105.64
_cell_angle_gamma 92.10
_symmetry_space_group_name_H-M 'P 1'
_symmetry_Int_Tables_number 1
loop_
_symmetry_equiv_pos_as_xyz
'x,y,z'
loop_
_atom_site_label
_atom_site_type_symbol
_atom_site_fract_x
_atom_site_fract_y
_atom_site_fract_z
Ca1 Ca 0.000 0.000 0.000
Ca2 Ca 0.174 0.704 0.411
Ni1 Ni 0.455 0.453 0.861
Ni2 Ni 0.753 0.237 0.505
O1 O 0.596 0.879 0.215
O2 O 0.783 0.635 0.663
# raw total energy: -4.38 eV per atom



Entry 2:
# GGA+U VAgF, relaxed
data_VAgF
_cell_length_a 4.3142
_cell_length_b 4.3142
_cell_length_c 23.1353
_cell_angle_alpha 90.00
_cell_angle_beta 90.00
_cell_angle_gamma 120.00
_symmetry_space_group_name_H-M 'R -3 m'
_symmetry_Int_Tables_number 166
_symmetry_space_group_name_Hall '-R 3 2"'
loop_
_atom_site_label
_atom_site_type_symbol
_atom_site_fract_x
_atom_site_fract_y
_atom_site_fract_z
V1 V 0.0000 0.0000 0.2016
Ag1 Ag 0.0000 0.0000 0.0798
F1 F 0.0000 0.0000 0.2877
# raw total energy: -4.26 eV per atom